## LiMnPO4 (PBE with a Hubbard U)

Data for an optimized crystal structure of LiMnPO4.

* theoretical density: 2815 kg/m³
* SG: P-1, No. 2
* energy: -0.5263 Ry per atom
* energy above the lowest structure with this stoichiometry: 21.4 meV/atom

abc: 5.079 8.418 9.087
angles: 107.63 89.02 91.92
Positions (direct):
O: 0.881 0.164 0.205
O: 0.299 0.125 0.335
O: 0.565 0.601 0.953
O: 0.799 0.125 0.835
O: 0.380 0.231 0.998
O: 0.888 0.939 0.339
O: 0.983 0.496 0.790
O: 0.975 0.787 0.949
O: 0.880 0.231 0.498
O: 0.475 0.787 0.449
O: 0.983 0.562 0.083
O: 0.483 0.562 0.583
O: 0.388 0.939 0.839
O: 0.381 0.164 0.705
O: 0.483 0.496 0.290
O: 0.065 0.601 0.453
Mn: 0.334 0.683 0.803
Mn: 0.530 0.043 0.485
Mn: 0.834 0.683 0.303
Mn: 0.030 0.043 0.985
Li: 0.344 0.475 0.072
Li: 0.519 0.252 0.216
Li: 0.844 0.475 0.572
Li: 0.019 0.252 0.716
P: 0.869 0.610 0.945
P: 0.494 0.116 0.843
P: 0.994 0.116 0.343
P: 0.369 0.610 0.445